*P*
Computed, not measured: an optimized crystal structure of CoBi3F at the PBE with a Hubbard U level of DFT.

Lattice parameters (Å, degrees): 4.953 4.953 4.953 90.00 90.00 90.00
Fractional coordinates of all 5 atoms:
Co  0.000  0.000  0.000
Bi  0.000  0.500  0.500
Bi  0.500  0.000  0.500
Bi  0.500  0.500  0.000
F  0.500  0.500  0.500

Fermi-level density of states = 2.59 states/eV per cell

=====

*Q*
Computed, not measured: an optimized crystal structure of CoBi3F at the PBE with a Hubbard U level of DFT.

Lattice parameters (Å, degrees): 5.137 5.137 5.137 90.00 90.00 90.00
Fractional coordinates of all 5 atoms:
Co  0.000  0.000  0.000
Bi  0.000  0.000  0.500
Bi  0.000  0.500  0.000
Bi  0.500  0.000  0.000
F  0.500  0.500  0.500

Fermi-level density of states = 2.58 states/eV per cell

=====

Going by the energies, *Q* is most stable and the next is 0.309 eV/atom up.